Entry 1:
Entry from Alexandria: crystalline SrBe2Te at its relaxed geometry (GGA-PBE).

Computed properties:
total moment = 0.0 μB per formula unit
calculated density = 4.35 g/cm³
total energy = -2.688 eV per atom
formation energy (no corrections) = 0.381 eV/atom
symmetry = No. 123
N(E_F) = 1.43 states/eV/f.u.

Unit cell a=4.4336 b=4.4393 c=4.5278 alpha=90.00 beta=90.00 gamma=90.00
Fractional positions:
1 Te 0.0000 0.5000 0.5000
2 Be 0.5000 0.5000 0.0000
3 Be 0.0000 0.0000 0.0000
4 Sr 0.5000 0.0000 0.5000


Entry 2:
Entry from Alexandria: crystalline SrBeTe2 at its relaxed geometry (GGA-PBE).

Computed properties:
total moment = 0.0 μB per formula unit
calculated density = 4.51 g/cm³
total energy = -3.769 eV per atom
formation energy (no corrections) = -0.847 eV/atom
symmetry = No. 6

Unit cell a=4.2794 b=4.7905 c=6.7568 alpha=69.13 beta=90.00 gamma=90.00
Fractional positions:
1 Sr 0.5000 0.6780 0.7697
2 Te 0.0000 0.1189 0.8875
3 Te 0.5000 0.3970 0.3292
4 Be 0.0000 0.3061 0.5137


Entry 3:
Entry from Alexandria: crystalline SrBeTe at its relaxed geometry (GGA-PBE).

Computed properties:
total moment = 0.0 μB per formula unit
calculated density = 4.79 g/cm³
energy above the most stable polymorph in this dataset = 452.3 meV/atom
total energy = -3.021 eV per atom
formation energy (no corrections) = -0.171 eV/atom
symmetry = No. 107
N(E_F) = 1.18 states/eV/f.u.

Unit cell a=6.1538 b=6.1538 c=6.1538 alpha=144.62 beta=144.62 gamma=50.90
Fractional positions:
1 Sr 0.3362 0.3362 0.0000
2 Te 0.6270 0.6270 0.0000
3 Be 0.0368 0.0368 0.0000


Entry 4:
Entry from Alexandria: crystalline SrBeTe2 at its relaxed geometry (GGA-PBE).

Computed properties:
total moment = 0.0 μB per formula unit
calculated density = 5.16 g/cm³
total energy = -2.845 eV per atom
formation energy (no corrections) = 0.078 eV/atom
symmetry = No. 216
N(E_F) = 2.59 states/eV/f.u.

Unit cell a=5.4294 b=5.4294 c=5.4294 alpha=60.00 beta=60.00 gamma=60.00
Fractional positions:
1 Be 0.5000 0.5000 0.5000
2 Te 0.2500 0.2500 0.2500
3 Te 0.0000 0.0000 0.0000
4 Sr 0.7500 0.7500 0.7500